1.
NdSmMgMn after structural relaxation, computed with PBE-GGA.

Lattice parameters (Å, degrees): 5.323 5.323 5.323 60.00 60.00 60.00
Sites, in units of the cell vectors:
Nd 0.000 0.000 0.000
Sm 0.500 0.500 0.500
Mg 0.750 0.750 0.750
Mn 0.250 0.250 0.250

Results
energy = -4.9443 eV per atom
energy of formation = 0.119 eV per atom


2.
Pa2HgW after structural relaxation, computed with PBE-GGA.

Lattice parameters (Å, degrees): 3.201 3.201 9.014 90.00 90.00 90.00
Sites, in units of the cell vectors:
Pa 0.000 0.000 0.217
Pa 0.000 0.000 0.783
Hg 0.500 0.500 0.500
W 0.500 0.500 0.000

Results
E above lowest polymorph = 0.00 eV per formula unit
energy = -7.9030 eV per atom
energy of formation = 0.159 eV per atom


3.
Li6In2H after structural relaxation, computed with PBE-GGA.

Lattice parameters (Å, degrees): 5.927 5.927 5.927 120.33 120.33 89.42
Sites, in units of the cell vectors:
Li 0.240 0.240 0.480
Li 0.240 0.760 0.000
Li 0.241 0.241 0.000
Li 0.759 0.759 0.000
Li 0.760 0.240 0.000
Li 0.760 0.760 0.520
In 0.250 0.750 0.500
In 0.750 0.250 0.500
H 0.000 0.000 0.000

Results
energy = -2.5130 eV per atom


4.
Tb2Dy2ErMg5 after structural relaxation, computed with PBE-GGA.

Lattice parameters (Å, degrees): 10.549 10.549 5.055 90.00 90.00 90.00
Sites, in units of the cell vectors:
Tb 0.178 0.322 0.000
Tb 0.322 0.822 0.000
Tb 0.678 0.178 0.000
Tb 0.822 0.678 0.000
Dy 0.120 0.620 0.000
Dy 0.380 0.120 0.000
Dy 0.620 0.880 0.000
Dy 0.880 0.380 0.000
Er 0.000 0.000 0.000
Er 0.500 0.500 0.000
Mg 0.000 0.500 0.500
Mg 0.070 0.803 0.500
Mg 0.197 0.070 0.500
Mg 0.303 0.570 0.500
Mg 0.430 0.303 0.500
Mg 0.500 0.000 0.500
Mg 0.570 0.697 0.500
Mg 0.697 0.430 0.500
Mg 0.803 0.930 0.500
Mg 0.930 0.197 0.500

Results
energy = -3.0265 eV per atom
energy of formation = 0.074 eV per atom


5.
KZn3O after structural relaxation, computed with PBE-GGA.

Lattice parameters (Å, degrees): 4.715 4.715 4.715 90.00 90.00 90.00
Sites, in units of the cell vectors:
K 0.000 0.000 0.000
Zn 0.000 0.500 0.500
Zn 0.500 0.000 0.500
Zn 0.500 0.500 0.000
O 0.500 0.500 0.500

Results
raw formation energy = 0.98 eV/f.u.
energy = -1.7795 eV per atom


6.
KCu2SnSe4 after structural relaxation, computed with PBE-GGA.

Lattice parameters (Å, degrees): 6.615 6.615 6.615 118.45 118.45 92.70
Sites, in units of the cell vectors:
K 0.000 0.000 0.000
Cu 0.250 0.750 0.500
Cu 0.750 0.250 0.500
Sn 0.500 0.500 0.000
Se 0.113 0.113 0.574
Se 0.461 0.887 0.000
Se 0.539 0.539 0.426
Se 0.887 0.461 0.000

Results
raw formation energy = -3.19 eV/f.u.
energy = -3.8027 eV per atom


7.
Ac6SmTl2 after structural relaxation, computed with PBE-GGA.

Lattice parameters (Å, degrees): 10.539 10.539 6.655 94.65 94.65 73.29
Sites, in units of the cell vectors:
Ac 0.065 0.820 0.990
Ac 0.143 0.402 0.171
Ac 0.180 0.935 0.510
Ac 0.245 0.525 0.686
Ac 0.402 0.143 0.671
Ac 0.475 0.755 0.814
Ac 0.525 0.245 0.186
Ac 0.598 0.857 0.329
Ac 0.755 0.475 0.314
Ac 0.820 0.065 0.490
Ac 0.857 0.598 0.829
Ac 0.935 0.180 0.010
Sm 0.391 0.609 0.250
Sm 0.609 0.391 0.750
Tl 0.036 0.285 0.588
Tl 0.285 0.036 0.088
Tl 0.715 0.964 0.912
Tl 0.964 0.715 0.412

Results
E above lowest polymorph = 0.57 eV per formula unit
energy = -3.8632 eV per atom
energy of formation = -0.074 eV per atom


8.
CeHoCuPb after structural relaxation, computed with PBE-GGA.

Lattice parameters (Å, degrees): 5.269 5.269 5.269 60.00 60.00 60.00
Sites, in units of the cell vectors:
Ce 0.000 0.000 0.000
Ho 0.500 0.500 0.500
Cu 0.750 0.750 0.750
Pb 0.250 0.250 0.250

Results
energy = -4.7858 eV per atom
energy of formation = -0.207 eV per atom


9.
NaLiTm2 after structural relaxation, computed with PBE-GGA.

Lattice parameters (Å, degrees): 12.289 12.289 12.289 15.60 15.60 15.60
Sites, in units of the cell vectors:
Na 0.000 0.000 0.000
Li 0.500 0.500 0.500
Tm 0.094 0.094 0.094
Tm 0.906 0.906 0.906

Results
energy = -2.7504 eV per atom
energy of formation = 0.294 eV per atom


10.
NiAsSe after structural relaxation, computed with PBE-GGA.

Lattice parameters (Å, degrees): 7.002 7.002 7.002 156.25 156.25 33.84
Sites, in units of the cell vectors:
Ni 0.000 0.000 0.000
As 0.387 0.387 0.000
Se 0.626 0.626 0.000

Results
raw formation energy = 0.18 eV/f.u.
energy = -4.5777 eV per atom


11.
KLiSb2 after structural relaxation, computed with PBE-GGA.

Lattice parameters (Å, degrees): 4.148 4.148 7.719 90.00 90.00 90.00
Sites, in units of the cell vectors:
K 0.000 0.000 0.000
Li 0.500 0.500 0.348
Sb 0.000 0.000 0.537
Sb 0.500 0.500 0.690

Results
raw formation energy = -0.64 eV/f.u.
E above lowest polymorph = 0.88 eV per formula unit
energy = -2.9739 eV per atom


12.
Hf4ReTc after structural relaxation, computed with PBE-GGA.

Lattice parameters (Å, degrees): 3.313 3.313 10.460 90.00 90.00 90.00
Sites, in units of the cell vectors:
Hf 0.000 0.000 0.148
Hf 0.000 0.000 0.852
Hf 0.500 0.500 0.351
Hf 0.500 0.500 0.649
Re 0.000 0.000 0.500
Tc 0.500 0.500 0.000

Results
E above lowest polymorph = 0.00 eV per formula unit
energy = -10.7005 eV per atom
energy of formation = -0.263 eV per atom